Material: Ac2PrGe
Method: DFT, PBE
State: optimized geometry

Geometry as POSCAR:
```
Ac2PrGe
1.0
4.9412 0.0000 0.0000
0.0000 5.1578 0.0000
0.0000 0.0000 5.1578
Pr Ac Ge
1 2 1
direct
0.5000 0.5000 0.5000
0.0000 0.0000 0.5000
0.0000 0.5000 0.0000
0.5000 0.0000 0.0000
```

Summary:
Space-group type   P4/mmm (123)
Volume   32.863 A^3/atom
Energy relative to the lowest polymorph listed for this composition   13 meV per atom

---

Material: AcPrGe
Method: DFT, PBE
State: optimized geometry

Geometry as POSCAR:
```
AcPrGe
1.0
4.6840 0.0000 0.0000
0.0000 4.9524 0.0000
0.0000 -2.4762 4.2889
Pr Ac Ge
1 1 1
direct
0.5591 0.6667 0.3333
0.0313 0.0000 0.0000
0.4096 0.3333 0.6667
```

Summary:
Space-group type   P3m1 (156)
Volume   33.163 A^3/atom
Energy relative to the lowest polymorph listed for this composition   192 meV per atom

---

Material: AcPrGe
Method: DFT, PBE
State: optimized geometry

Geometry as POSCAR:
```
AcPrGe
1.0
-2.4792 -3.4190 1.2140
3.3128 -3.7521 4.1675
-3.1073 1.8350 6.8059
Ac Pr Ge
2 2 2
direct
0.8946 0.4393 0.6511
0.2412 0.9021 0.4907
0.6530 0.3714 0.1997
0.4829 0.9701 0.9420
0.9520 0.7510 0.2225
0.1837 0.5905 0.9191
```

Summary:
Space-group type   P-1 (2)
Volume   32.810 A^3/atom
Energy relative to the lowest polymorph listed for this composition   93 meV per atom

---

Material: AcPr2Ge
Method: DFT, PBE
State: optimized geometry

Geometry as POSCAR:
```
AcPr2Ge
1.0
4.9656 0.0000 0.0000
0.0000 4.9728 0.0000
0.0000 0.0000 4.9728
Pr Ac Ge
2 1 1
direct
0.0000 0.0000 0.5000
0.0000 0.5000 0.0000
0.5000 0.0000 0.0000
0.5000 0.5000 0.5000
```

Summary:
Space-group type   P4/mmm (123)
Volume   30.698 A^3/atom
Energy relative to the lowest polymorph listed for this composition   138 meV per atom

---

Material: Ac5PrGe4
Method: DFT, PBE
State: optimized geometry

Geometry as POSCAR:
```
Ac5PrGe4
1.0
-0.1082 1.1104 -4.4852
-6.3668 -5.3936 -1.1817
-2.9661 9.0528 4.6941
Ac Pr Ge
5 1 4
direct
0.8367 0.5902 0.6734
0.8373 0.0883 0.6746
0.1627 0.9117 0.3254
0.5000 0.5000 0.0000
0.1633 0.4098 0.3266
0.5000 0.0000 0.0000
0.3085 0.8104 0.6169
0.9996 0.7583 0.9991
0.6915 0.1896 0.3831
0.0004 0.2417 0.0009
```

Summary:
Space-group type   C2/m (12)
Volume   36.894 A^3/atom

---

Material: AcPrGe2
Method: DFT, PBE
State: optimized geometry

Geometry as POSCAR:
```
AcPrGe2
1.0
-1.3202 -3.3073 2.2749
3.6269 -3.7726 -3.3799
6.4194 1.2308 5.5147
Ac Pr Ge
2 2 4
direct
0.5000 0.3712 0.3202
0.5000 0.6288 0.8202
0.0000 0.1309 0.6825
0.0000 0.8691 0.1825
0.0000 0.6342 0.5348
0.0000 0.3658 0.0348
0.5000 0.8930 0.4626
0.5000 0.1070 0.9626
```

Summary:
Space-group type   Pmc2_1 (26)
Volume   28.142 A^3/atom

---

Number 1: total DFT energy (no corrections) -0.1699 hartree per atom. Number 2: total DFT energy (no corrections) -0.1789 hartree per atom. Number 3: total DFT energy (no corrections) -0.1825 hartree per atom. Number 4: total DFT energy (no corrections) -0.1780 hartree per atom. Number 5: total DFT energy (no corrections) -0.1802 hartree per atom. Number 6: total DFT energy (no corrections) -0.1939 hartree per atom.